[1]
Compound: TiAgF2
Source: the Alexandria database
Functional: PBE
Structure: relaxed

Cell and atoms, written as POSCAR:
```
TiAgF2
1.0
2.800 0.000 0.000
-1.400 2.425 0.000
0.000 0.000 28.962
Ti Ag F
3 3 6
Direct
0.000 0.000 0.000
0.333 0.667 0.667
0.667 0.333 0.333
0.000 0.000 0.500
0.333 0.667 0.167
0.667 0.333 0.833
0.000 0.000 0.381
0.000 0.000 0.619
0.333 0.667 0.047
0.333 0.667 0.286
0.667 0.333 0.714
0.667 0.333 0.953
```

D(E_F) = 1.65 states/eV/f.u.
calculated volume = 65.57 Å³/f.u.
raw formation energy = -1.909 eV per atom

=====

[2]
Compound: NaSrIn4
Source: the Alexandria database
Functional: PBE
Structure: relaxed

Cell and atoms, written as POSCAR:
```
NaSrIn4
1.0
0.000 4.433 4.433
4.433 0.000 4.433
4.433 4.433 0.000
Na Sr In
1 1 4
Direct
0.000 0.000 0.000
0.750 0.750 0.750
0.375 0.375 0.375
0.375 0.375 0.876
0.375 0.876 0.375
0.876 0.375 0.375
```

D(E_F) = 1.58 states/eV/f.u.
formation energy from the elements = -0.28 eV per atom
calculated volume = 174.29 Å³/f.u.

=====

[3]
Compound: B3IrBr
Source: the Alexandria database
Functional: PBE
Structure: relaxed

Cell and atoms, written as POSCAR:
```
B3IrBr
1.0
4.219 0.000 0.000
0.000 4.219 0.000
0.000 0.000 4.219
B Ir Br
3 1 1
Direct
0.000 0.000 0.500
0.000 0.500 0.000
0.500 0.000 0.000
0.000 0.000 0.000
0.500 0.500 0.500
```

D(E_F) = 3.78 states/eV/f.u.
calculated volume = 75.11 Å³/f.u.
raw formation energy = 0.908 eV per atom

=====

[4]
Compound: NdMg2Ga2Ni
Source: the Alexandria database
Functional: PBE
Structure: relaxed

Cell and atoms, written as POSCAR:
```
NdMg2Ga2Ni
1.0
5.062 0.000 0.000
0.000 5.062 0.000
0.000 0.000 10.987
Nd Mg Ga Ni
2 4 4 2
Direct
0.000 0.000 0.000
0.500 0.500 0.500
0.000 0.500 0.250
0.000 0.500 0.750
0.500 0.000 0.250
0.500 0.000 0.750
0.000 0.000 0.297
0.000 0.000 0.703
0.500 0.500 0.203
0.500 0.500 0.797
0.000 0.000 0.500
0.500 0.500 0.000
```

D(E_F) = 3.13 states/eV/f.u.
formation energy from the elements = 0.10 eV per atom
calculated volume = 140.77 Å³/f.u.

=====

[5]
Compound: KCa2As
Source: the Alexandria database
Functional: PBE
Structure: relaxed

Cell and atoms, written as POSCAR:
```
KCa2As
1.0
4.700 0.000 0.000
0.000 4.700 0.000
0.000 0.000 11.175
K Ca As
2 4 2
Direct
0.000 0.000 0.000
0.500 0.500 0.500
0.000 0.000 0.500
0.000 0.500 0.250
0.500 0.000 0.750
0.500 0.500 0.000
0.000 0.500 0.750
0.500 0.000 0.250
```

D(E_F) = 2.01 states/eV/f.u.
formation energy from the elements = -0.18 eV per atom
calculated volume = 123.41 Å³/f.u.

=====

[6]
Compound: MnAlRe2
Source: the Alexandria database
Functional: PBE
Structure: relaxed

Cell and atoms, written as POSCAR:
```
MnAlRe2
1.0
3.771 0.000 0.000
0.000 3.771 0.000
0.000 0.000 4.014
Mn Al Re
1 1 2
Direct
0.000 0.000 0.000
0.500 0.500 0.000
0.000 0.500 0.500
0.500 0.000 0.500
```

D(E_F) = 3.70 states/eV/f.u.
formation energy from the elements = 0.05 eV per atom
calculated volume = 57.08 Å³/f.u.

=====

[7]
Compound: YCrFe2Si
Source: the Alexandria database
Functional: PBE
Structure: relaxed

Cell and atoms, written as POSCAR:
```
YCrFe2Si
1.0
4.328 0.000 0.000
0.000 4.328 0.000
0.000 0.000 4.467
Y Cr Fe Si
1 1 2 1
Direct
0.000 0.000 0.000
0.500 0.500 0.000
0.000 0.500 0.500
0.500 0.000 0.500
0.500 0.500 0.500
```

D(E_F) = 4.60 states/eV/f.u.
calculated volume = 83.65 Å³/f.u.
raw formation energy = 0.288 eV per atom

=====

[8]
Compound: SrTlCrAs2
Source: the Alexandria database
Functional: PBE
Structure: relaxed

Cell and atoms, written as POSCAR:
```
SrTlCrAs2
1.0
5.402 0.000 0.000
0.000 5.402 0.000
0.000 0.000 5.937
Sr Tl Cr As
1 1 1 2
Direct
0.000 0.000 0.000
0.000 0.000 0.500
0.500 0.500 0.000
0.000 0.500 0.500
0.500 0.000 0.500
```

D(E_F) = 4.12 states/eV/f.u.
formation energy from the elements = 0.94 eV per atom
calculated volume = 173.22 Å³/f.u.